# NiBi2PdO6

A relaxed structure of NiBi2PdO6 (PBE with a Hubbard U, Alexandria via LeMat-Bulk). Values from VASP.

```
&SYSTEM
  ibrav = 0, nat = 20, ntyp = 4
/
ATOMIC_SPECIES
Ni 58.69 Ni.upf
Bi 208.98 Bi.upf
Pd 106.42 Pd.upf
O 16.00 O.upf
ATOMIC_POSITIONS crystal
Ni 0.0000 0.0000 0.0000
Ni 0.0000 0.5000 0.5000
Bi 0.2468 0.0664 0.7360
Bi 0.2468 0.4336 0.2360
Bi 0.7532 0.5664 0.7640
Bi 0.7532 0.9336 0.2640
Pd 0.5000 0.0000 0.5000
Pd 0.5000 0.5000 0.0000
O 0.1487 0.0406 0.2532
O 0.1487 0.4594 0.7532
O 0.2097 0.6810 0.0299
O 0.2097 0.8190 0.5299
O 0.3638 0.2116 0.0632
O 0.3638 0.2884 0.5632
O 0.6362 0.7116 0.4368
O 0.6362 0.7884 0.9368
O 0.7903 0.1810 0.4701
O 0.7903 0.3190 0.9701
O 0.8513 0.5406 0.2468
O 0.8513 0.9594 0.7468
CELL_PARAMETERS angstrom
5.4890 0.0000 0.0000
0.0000 5.8472 0.0000
-5.3908 0.0000 7.8577
```

The crystal system is monoclinic. The calculation puts the total energy at -109.29 eV/cell. The symmetry is P2_1/c, No. 14.